Record 1
A plane-wave DFT calculation with PBE-GGA was carried out for Dy7Hg2Os2 after structural relaxation.

Summary:
* DFT formation energy: -0.217 eV per atom
* space-group type: Cmmm
* ρ: 10.25 Mg/m³

Lattice parameters (Å, degrees): 6.7394 7.1254 6.7394 90.00 106.19 90.00
Fractional coordinates of all 11 atoms:
Hg: 0.8164 0.5000 0.8164
Dy: 0.0000 0.7496 0.5000
Dy: 0.0000 0.2504 0.5000
Dy: 0.5000 0.2410 0.5000
Os: 0.2906 0.0000 0.7094
Dy: 0.0000 0.0000 0.0000
Dy: 0.5000 0.7590 0.5000
Dy: 0.5000 0.2504 0.0000
Dy: 0.5000 0.7496 0.0000
Hg: 0.1836 0.5000 0.1836
Os: 0.7094 0.0000 0.2906


Record 2
A plane-wave DFT calculation with PBE-GGA was carried out for Dy3HgOs after structural relaxation.

Summary:
* DFT formation energy: -0.357 eV per atom
* space-group type: Fmmm
* ρ: 11.54 Mg/m³

Lattice parameters (Å, degrees): 5.8386 5.8386 8.6551 102.03 102.03 112.47
Fractional coordinates of all 10 atoms:
Dy: 0.9231 0.7979 0.7210
Os: 0.2500 0.2500 0.0000
Dy: 0.0769 0.2021 0.2790
Dy: 0.2979 0.4230 0.7210
Dy: 0.7021 0.5770 0.2790
Hg: 0.7143 0.2143 0.5000
Os: 0.7500 0.7500 0.0000
Dy: 0.3006 0.8006 0.1013
Hg: 0.2857 0.7857 0.5000
Dy: 0.6994 0.1994 0.8987


Record 3
A plane-wave DFT calculation with PBE-GGA was carried out for Dy3Hg2Os after structural relaxation.

Summary:
* DFT formation energy: -0.402 eV per atom
* space-group type: Cmmm
* ρ: 12.62 Mg/m³

Lattice parameters (Å, degrees): 5.0502 7.9210 7.4876 90.00 90.00 71.41
Fractional coordinates of all 12 atoms:
Os: 0.6642 0.6715 0.0000
Os: 0.3358 0.3285 0.0000
Dy: 0.5000 0.0000 0.2316
Hg: 0.0000 0.0000 0.5000
Dy: 0.1741 0.6518 0.7770
Dy: 0.5000 0.0000 0.7684
Dy: 0.8259 0.3482 0.7770
Hg: 0.0000 0.0000 0.0000
Dy: 0.1741 0.6518 0.2230
Hg: 0.3340 0.3319 0.5000
Hg: 0.6660 0.6681 0.5000
Dy: 0.8259 0.3482 0.2230


Question: Look up the DFT formation energy of the third one.
Answer: -0.402 eV per atom